A plane-wave DFT calculation with PBE-GGA was carried out for SnHg4Pb7 after structural relaxation.

a b c (Å): 5.371 5.371 13.999
angles (deg): 90.00 90.00 120.00
Fractional positions:
1 Sn 0.000 0.000 0.000
2 Hg 0.333 0.667 0.174
3 Hg 0.333 0.667 0.414
4 Hg 0.667 0.333 0.586
5 Hg 0.667 0.333 0.826
6 Pb 0.000 0.000 0.242
7 Pb 0.000 0.000 0.500
8 Pb 0.000 0.000 0.758
9 Pb 0.333 0.667 0.656
10 Pb 0.333 0.667 0.914
11 Pb 0.667 0.333 0.086
12 Pb 0.667 0.333 0.344

raw total energy: -30.86 eV per cell
DFT formation energy: 30 kJ/mol of formula units
calculated volume: 350 Å³/cell